Sr2Cu2PtO6 | PBE | optimized geometry

abc: 6.245 6.245 6.245
angles: 55.64 55.64 55.64
Atoms (fractional coordinates):
Sr1 0.214 0.214 0.214
Sr2 0.786 0.786 0.786
Cu1 0.411 0.411 0.411
Cu2 0.589 0.589 0.589
Pt1 0.000 0.000 0.000
O1 0.216 0.764 0.764
O2 0.236 0.236 0.784
O3 0.236 0.784 0.236
O4 0.764 0.216 0.764
O5 0.764 0.764 0.216
O6 0.784 0.236 0.236

magnetic moment	2.09	μB/cell
DFT total energy	-5.607	eV/atom

=====

LiTa2Rh | PBE | optimized geometry

abc: 5.106 5.106 5.106
angles: 136.04 136.04 63.92
Atoms (fractional coordinates):
Li1 0.000 0.000 0.000
Ta1 0.500 0.500 0.000
Ta2 0.750 0.250 0.500
Rh1 0.250 0.750 0.500

magnetic moment	0.00	μB/cell
DFT total energy	-8.152	eV/atom
energy of formation	0.09	eV/atom

=====

SrMg2Hg | PBE | optimized geometry

abc: 6.472 6.472 6.472
angles: 44.09 44.09 44.09
Atoms (fractional coordinates):
Sr1 0.000 0.000 0.000
Mg1 0.204 0.204 0.204
Mg2 0.796 0.796 0.796
Hg1 0.500 0.500 0.500

magnetic moment	0.00	μB/cell
DFT total energy	-1.469	eV/atom
energy of formation	-0.18	eV/atom

=====

Which value of DFT total energy does entry 2 give? -8.152 eV/atom

=====

Among the records above, which one has the highest DFT total energy? SrMg2Hg

=====

Look up the DFT total energy of the first one. -5.607 eV/atom